Compound: PmHfZr
Source: the Open Quantum Materials Database
Functional: PBE
Structure: relaxed

## Properties
calculated volume	89.0	Å³/f.u.
final energy	-6.8458	eV per atom
magnetization	1.30	μB per formula unit
DFT formation energy	87.2	kJ/mol of atoms
offset from the most stable computed form	0.000	eV per atom

The structure in POSCAR format:
```
PmHfZr
1.0
1.401 -2.067 4.345
-2.810 0.639 4.100
-2.587 -3.854 1.891
Hf Zr Pm
1 1 1
direct
0.000 0.000 0.000 Hf
0.750 0.750 0.750 Zr
0.250 0.250 0.250 Pm
```